# 1
# Be2CrTc | Alexandria | meta-GGA SCAN | single point on PBEsol structure
# Formation energy ... -0.130 eV per atom
# Energy relative to the lowest polymorph listed for this composition ... 0.0000 eV per atom
# Total energy ... -15.6679 eV/atom
data_Be2CrTc
_space_group_name_H-M_alt 'P 1'
_space_group_IT_number 1
_cell_length_a 3.0463
_cell_length_b 3.8013
_cell_length_c 4.2766
_cell_angle_alpha 114.89
_cell_angle_beta 110.86
_cell_angle_gamma 90.00
loop_
_space_group_symop_operation_xyz
'x,y,z'
loop_
_atom_site_label
_atom_site_type_symbol
_atom_site_fract_x
_atom_site_fract_y
_atom_site_fract_z
_atom_site_occupancy
Be1 Be 0.9814 0.9716 0.9628 1
Be2 Be 0.2679 0.7765 0.5359 1
Cr1 Cr 0.5070 0.5007 0.0140 1
Tc1 Tc 0.7437 0.2513 0.4873 1

# 2
# HgSb2W | Alexandria | meta-GGA SCAN | single point on PBEsol structure
# Raw formation energy ... 64 kJ/mol of atoms
# Total energy ... -52.4289 eV/atom
data_HgSb2W
_space_group_name_H-M_alt 'P 1'
_space_group_IT_number 1
_cell_length_a 3.5434
_cell_length_b 4.6286
_cell_length_c 5.4594
_cell_angle_alpha 90.00
_cell_angle_beta 108.94
_cell_angle_gamma 90.00
loop_
_space_group_symop_operation_xyz
'x,y,z'
loop_
_atom_site_label
_atom_site_type_symbol
_atom_site_fract_x
_atom_site_fract_y
_atom_site_fract_z
_atom_site_occupancy
Sb1 Sb 0.9855 0.0000 0.9711 1
Sb2 Sb 0.2684 0.5000 0.5368 1
W1 W 0.7019 0.0000 0.4038 1
Hg1 Hg 0.5331 0.5000 0.0662 1